No. 1
The following is a PBE calculation of a relaxed PmSm3Se6 crystal, from Alexandria.

The structure belongs to space group P2_1/m (No. 11); the cell edges are 11.771, 4.203 and 12.091 Å and the angles 90.00°, 108.83° and 90.00°. The inequivalent atoms are Pm at (0.044, 0.250, 0.191), Sm at (0.159, 0.250, 0.583), Sm at (0.318, 0.750, 0.998), Sm at (0.432, 0.250, 0.332), Se at (0.084, 0.750, 0.401), Se at (0.112, 0.250, 0.964), Se at (0.191, 0.750, 0.750), Se at (0.253, 0.750, 0.223), Se at (0.397, 0.250, 0.563) and Se at (0.481, 0.250, 0.115).

The total magnetic moment comes out at 0.00 μB/cell. For the energy relative to the elements, uncorrected, the calculation gives -1.878 eV per atom.



No. 2
The following is a PBE calculation of a relaxed Pm3SmSe6 crystal, from Alexandria.

The structure belongs to space group P2_1/c (No. 14); the cell edges are 7.009, 7.734 and 12.824 Å and the angles 90.00°, 122.99° and 90.00°. The inequivalent atoms are Pm at (0.000, 0.000, 0.000), Pm at (0.297, 0.103, 0.750), Sm at (0.500, 0.000, 0.500), Se at (0.089, 0.064, 0.251), Se at (0.256, 0.682, 0.084) and Se at (0.414, 0.183, 0.084).

The total magnetic moment comes out at 0.00 μB/cell. For the energy relative to the elements, uncorrected, the calculation gives -1.829 eV per atom.



No. 3
The following is a PBE calculation of a relaxed Pm2Sm4Se9 crystal, from Alexandria.

The structure belongs to space group C2/c (No. 15); the cell edges are 12.816, 7.397 and 19.779 Å and the angles 90.00°, 90.01° and 90.00°. The inequivalent atoms are Pm at (0.000, 0.000, 0.150), Sm at (0.167, 0.500, 0.016), Sm at (0.167, 0.500, 0.317), Se at (0.000, 0.302, 0.250), Se at (0.016, 0.352, 0.917), Se at (0.151, 0.151, 0.750), Se at (0.168, 0.199, 0.417) and Se at (0.184, 0.152, 0.083).

The total magnetic moment comes out at 0.00 μB/cell. For the energy relative to the elements, uncorrected, the calculation gives -1.845 eV per atom.



No. 4
The following is a PBE calculation of a relaxed PmSm4Se5 crystal, from Alexandria.

The structure belongs to space group I4/mmm (No. 139); the cell edges are 4.173, 4.173 and 29.610 Å and the angles 90.00°, 90.00° and 90.00°. The inequivalent atoms are Pm at (0.000, 0.000, 0.000), Sm at (0.000, 0.000, 0.202), Sm at (0.000, 0.000, 0.401), Se at (0.000, 0.000, 0.101), Se at (0.000, 0.000, 0.302) and Se at (0.000, 0.000, 0.500).

The total magnetic moment comes out at 0.00 μB/cell. For the energy relative to the elements, uncorrected, the calculation gives -1.819 eV per atom.



No. 5
The following is a PBE calculation of a relaxed PmSm4Se5 crystal, from Alexandria.

The structure belongs to space group C2/m (No. 12); the cell edges are 13.877, 4.176 and 10.234 Å and the angles 90.00°, 119.65° and 90.00°. The inequivalent atoms are Pm at (0.000, 0.000, 0.000), Sm at (0.100, 0.500, 0.399), Sm at (0.201, 0.000, 0.800), Se at (0.000, 0.000, 0.500), Se at (0.101, 0.500, 0.899) and Se at (0.201, 0.000, 0.301).

The total magnetic moment comes out at 0.00 μB/cell. For the energy relative to the elements, uncorrected, the calculation gives -1.822 eV per atom.



No. 6
The following is a PBE calculation of a relaxed PmSmSe crystal, from Alexandria.

The structure belongs to space group Cmce (No. 64); the cell edges are 8.529, 11.194 and 7.658 Å and the angles 90.00°, 90.00° and 90.00°. The inequivalent atoms are Pm at (0.202, 0.000, 0.000), Sm at (0.000, 0.202, 0.336) and Se at (0.000, 0.063, 0.698).

The total magnetic moment comes out at 0.00 μB/cell. For the energy relative to the elements, uncorrected, the calculation gives -1.032 eV per atom.



No. 7
The following is a PBE calculation of a relaxed PmSm5Se8 crystal, from Alexandria.

The structure belongs to space group I-4 (No. 82); the cell edges are 9.063, 9.063 and 8.614 Å and the angles 90.00°, 90.00° and 90.00°. The inequivalent atoms are Pm at (0.000, 0.000, 0.000), Sm at (0.000, 0.500, 0.250), Sm at (0.158, 0.750, 0.625), Se at (0.066, 0.676, 0.943) and Se at (0.066, 0.823, 0.307).

The total magnetic moment comes out at 0.00 μB/cell. For the energy relative to the elements, uncorrected, the calculation gives -1.844 eV per atom.



No. 8
The following is a PBE calculation of a relaxed Pm5SmSe8 crystal, from Alexandria.

The structure belongs to space group I-4 (No. 82); the cell edges are 9.057, 9.057 and 8.669 Å and the angles 90.00°, 90.00° and 90.00°. The inequivalent atoms are Pm at (0.000, 0.000, 0.000), Pm at (0.154, 0.750, 0.625), Sm at (0.000, 0.500, 0.250), Se at (0.067, 0.823, 0.305) and Se at (0.068, 0.675, 0.945).

The total magnetic moment comes out at 0.00 μB/cell. For the energy relative to the elements, uncorrected, the calculation gives -1.852 eV per atom.



No. 9
The following is a PBE calculation of a relaxed PmSm6Se8 crystal, from Alexandria.

The structure belongs to space group Fm-3m (No. 225); the cell edges are 11.768, 11.768 and 11.768 Å and the angles 90.00°, 90.00° and 90.00°. The inequivalent atoms are Pm at (0.000, 0.000, 0.000), Sm at (0.000, 0.250, 0.250), Se at (0.000, 0.000, 0.254) and Se at (0.250, 0.250, 0.250).

The total magnetic moment comes out at 0.00 μB/cell. For the energy relative to the elements, uncorrected, the calculation gives -1.868 eV per atom.



No. 10
The following is a PBE calculation of a relaxed PmSm2Se4 crystal, from Alexandria.

The structure belongs to space group C2/m (No. 12); the cell edges are 15.422, 4.206 and 7.338 Å and the angles 90.00°, 116.29° and 90.00°. The inequivalent atoms are Pm at (0.000, 0.000, 0.000), Sm at (0.231, 0.500, 0.723), Se at (0.124, 0.000, 0.442) and Se at (0.138, 0.500, 0.998).

The total magnetic moment comes out at 0.00 μB/cell. For the energy relative to the elements, uncorrected, the calculation gives -1.833 eV per atom.



No. 11
The following is a PBE calculation of a relaxed Pm2Sm3Se8 crystal, from Alexandria.

The structure belongs to space group C2/m (No. 12); the cell edges are 14.588, 8.445 and 7.146 Å and the angles 90.00°, 109.81° and 90.00°. The inequivalent atoms are Pm at (0.240, 0.000, 0.159), Sm at (0.000, 0.238, 0.500), Sm at (0.000, 0.500, 0.000), Se at (0.118, 0.500, 0.427), Se at (0.122, 0.000, 0.415) and Se at (0.124, 0.264, 0.915).

The total magnetic moment comes out at 0.00 μB/cell. For the energy relative to the elements, uncorrected, the calculation gives -1.707 eV per atom.



No. 12
The following is a PBE calculation of a relaxed Pm3Sm4Se8 crystal, from Alexandria.

The structure belongs to space group C2/m (No. 12); the cell edges are 11.795, 11.797 and 8.338 Å and the angles 90.00°, 134.97° and 90.00°. The inequivalent atoms are Pm at (0.000, 0.000, 0.000), Pm at (0.250, 0.250, 0.000), Sm at (0.000, 0.500, 0.000), Sm at (0.000, 0.500, 0.500), Sm at (0.250, 0.250, 0.500), Se at (0.000, 0.247, 0.500), Se at (0.000, 0.251, 0.000), Se at (0.248, 0.000, 0.501) and Se at (0.248, 0.000, 0.995).

The total magnetic moment comes out at 0.00 μB/cell. For the energy relative to the elements, uncorrected, the calculation gives -1.873 eV per atom.



Sequential final energy output: -117.19 -116.33 -349.64 -118.48 -118.55 -128.40 -164.07 -164.56 -355.85 -81.91 -147.44 -178.19 eV for the cell shown